Entry 1:
Below is a relaxed structure of Pm3Dy2Ho5, with properties calculated at the GGA-PBE level.

## Properties
- ΔE to the lowest computed polymorph (meV/atom) = 148
- magnetic moment (μB/cell) = 0.0
- formation energy from the elements (eV/atom) = 0.342

abc: 12.8913 16.7955 6.3123
angles: 90.00 90.00 90.00
Last column: nearest neighbours and their distance in Å.
Space group Ibam (No. 72)
Asymmetric unit:
Pm1 0.0000 0.0000 0.2500  2 Pm 3.16, 2 Ho 3.26, 4 Dy 3.34
Pm2 0.1575 0.2467 0.0000  4 Dy 3.49-3.69, 4 Ho 3.49-3.68
Dy1 0.1032 0.1561 0.5000  1 Ho 3.16, 3 Pm 3.34-3.49
Ho1 0.0000 0.5000 0.2500  8 Ho 3.16-3.31
Ho2 0.0987 0.3440 0.5000  1 Dy 3.16, 2 Ho 3.31, 1 Pm 3.49
Ho3 0.2474 0.5000 0.2500  3 Ho 3.16-3.19, 1 Pm 3.26


Entry 2:
Below is a relaxed structure of Pm3Dy4Ho4, with properties calculated at the GGA-PBE level.

## Properties
- ΔE to the lowest computed polymorph (meV/atom) = 0
- magnetic moment (μB/cell) = 0.0
- formation energy from the elements (eV/atom) = 0.055

abc: 3.4897 5.6434 18.2081
angles: 81.10 84.51 90.00
Last column: nearest neighbours and their distance in Å.
Space group P-1 (No. 2)
Asymmetric unit:
Pm1 0.0000 0.0000 0.0000  2 Pm 3.49, 4 Ho 3.69, 8 Dy 3.70
Pm2 0.1366 0.6373 0.7261  2 Pm 3.49, 6 Dy 3.68-3.70, 6 Ho 3.70-3.88
Dy1 0.3191 0.8182 0.3627  5 Ho 3.24-3.51, 2 Dy 3.49
Dy2 0.4547 0.4535 0.0914  2 Ho 3.25, 3 Dy 3.27-3.49
Ho1 0.2661 0.2661 0.4674  4 Dy 3.39-3.51, 6 Ho 3.49-3.52
Ho2 0.4090 0.9082 0.1819  3 Dy 3.24-3.25, 2 Ho 3.49